Entry from the Alexandria database: a relaxed structure of VAuF (PBE+U).

Lattice parameters (Å, degrees): 17.552 4.432 6.389 90.00 107.88 90.00
Space group C2/m (No. 12)
Asymmetric unit:
V1 0.080 0.000 0.223 [4 per cell]
V2 0.164 0.000 0.856 [4 per cell]
Au1 0.171 0.500 0.163 [4 per cell]
Au2 0.235 0.500 0.658 [4 per cell]
F1 0.045 0.000 0.878 [4 per cell]
F2 0.094 0.000 0.542 [4 per cell]

Calculated values
**Electronic total energy**: -122.68 eV for the cell shown
**Total magnetic moment**: 2.89 μB/f.u.
**D(E_F)**: 0.19 states/eV per atom

=====

Entry from the Alexandria database: a relaxed structure of VAu3F (PBE+U).

Lattice parameters (Å, degrees): 4.620 4.620 4.620 90.00 90.00 90.00
Space group Pm-3m (No. 221)
Asymmetric unit:
V1 0.000 0.000 0.000 [1 per cell]
Au1 0.000 0.500 0.500 [3 per cell]
F1 0.500 0.500 0.500 [1 per cell]

Calculated values
**Offset from the most stable computed form**: 0 meV per atom
**Electronic total energy**: -16.28 eV for the cell shown
**Total magnetic moment**: 3.34 μB/f.u.
**D(E_F)**: 0.49 states/eV per atom

=====

Entry from the Alexandria database: a relaxed structure of VAu3F (PBE+U).

Lattice parameters (Å, degrees): 4.998 4.998 4.998 90.00 90.00 90.00
Space group Pm-3m (No. 221)
Asymmetric unit:
V1 0.000 0.000 0.000 [1 per cell]
Au1 0.000 0.000 0.500 [3 per cell]
F1 0.500 0.500 0.500 [1 per cell]

Calculated values
**Offset from the most stable computed form**: 363 meV per atom
**Electronic total energy**: -14.46 eV for the cell shown
**Total magnetic moment**: 2.40 μB/f.u.
**D(E_F)**: 1.18 states/eV per atom

=====

Entry from the Alexandria database: a relaxed structure of VAuF2 (PBE+U).

Lattice parameters (Å, degrees): 6.095 6.095 6.095 90.00 90.00 90.00
Space group Fm-3m (No. 225)
Asymmetric unit:
V1 0.000 0.000 0.000 [4 per cell]
Au1 0.000 0.000 0.500 [4 per cell]
F1 0.250 0.250 0.250 [8 per cell]

Calculated values
**Offset from the most stable computed form**: 1133 meV per atom
**Electronic total energy**: -67.08 eV for the cell shown
**Total magnetic moment**: 3.10 μB/f.u.
**D(E_F)**: 1.24 states/eV per atom

=====

Entry from the Alexandria database: a relaxed structure of VAuF2 (PBE+U).

Lattice parameters (Å, degrees): 5.965 5.965 9.835 90.00 90.00 90.00
Space group I4_1/amd (No. 141, origin choice 2)
Asymmetric unit:
V1 0.000 0.250 0.375 [4 per cell]
Au1 0.000 0.250 0.875 [4 per cell]
F1 0.000 0.000 0.500 [8 per cell]

Calculated values
**Offset from the most stable computed form**: 506 meV per atom
**Electronic total energy**: -77.11 eV for the cell shown
**Total magnetic moment**: 2.46 μB/f.u.
**D(E_F)**: 0.44 states/eV per atom

=====

Entry from the Alexandria database: a relaxed structure of VAuF3 (PBE+U).

Lattice parameters (Å, degrees): 4.134 4.134 4.134 90.00 90.00 90.00
Space group Pm-3m (No. 221)
Asymmetric unit:
V1 0.000 0.000 0.000 [1 per cell]
Au1 0.500 0.500 0.500 [1 per cell]
F1 0.000 0.000 0.500 [3 per cell]

Calculated values
**Offset from the most stable computed form**: 0 meV per atom
**Electronic total energy**: -24.65 eV for the cell shown
**Total magnetic moment**: 2.69 μB/f.u.
**D(E_F)**: 0.64 states/eV per atom

=====

Entry from the Alexandria database: a relaxed structure of V3AuF (PBE+U).

Lattice parameters (Å, degrees): 5.192 5.192 5.192 90.00 90.00 90.00
Space group Pm-3m (No. 221)
Asymmetric unit:
V1 0.000 0.000 0.500 [3 per cell]
Au1 0.000 0.000 0.000 [1 per cell]
F1 0.500 0.500 0.500 [1 per cell]

Calculated values
**Offset from the most stable computed form**: 869 meV per atom
**Electronic total energy**: -22.08 eV for the cell shown
**Total magnetic moment**: 10.22 μB/f.u.
**D(E_F)**: 0.75 states/eV per atom

=====

Entry from the Alexandria database: a relaxed structure of VAuF3 (PBE+U).

Lattice parameters (Å, degrees): 4.473 4.473 4.473 90.00 90.00 90.00
Space group Pm-3m (No. 221)
Asymmetric unit:
V1 0.000 0.000 0.000 [1 per cell]
Au1 0.500 0.500 0.500 [1 per cell]
F1 0.000 0.500 0.500 [3 per cell]

Calculated values
**Offset from the most stable computed form**: 1189 meV per atom
**Electronic total energy**: -18.70 eV for the cell shown
**Total magnetic moment**: 3.59 μB/f.u.
**D(E_F)**: 2.20 states/eV per atom

=====

Entry from the Alexandria database: a relaxed structure of VAuF2 (PBE+U).

Lattice parameters (Å, degrees): 3.0561 3.0561 28.1807 90.00 90.00 120.00
Space group R-3m (No. 166, hexagonal axes)
Asymmetric unit:
V1 0.0000 0.0000 0.0000 [3 per cell]
Au1 0.0000 0.0000 0.5000 [3 per cell]
F1 0.0000 0.0000 0.3724 [6 per cell]

Calculated values
**Offset from the most stable computed form**: 0 meV per atom
**Electronic total energy**: -63.91 eV for the cell shown
**Total magnetic moment**: 2.95 μB/f.u.
**D(E_F)**: 0.77 states/eV per atom

=====

Entry from the Alexandria database: a relaxed structure of VAuF6 (PBE+U).

Lattice parameters (Å, degrees): 5.667 8.463 5.285 90.00 90.84 90.00
Space group C2/m (No. 12)
Asymmetric unit:
V1 0.000 0.000 0.000 [2 per cell]
Au1 0.000 0.500 0.500 [2 per cell]
F1 0.104 0.149 0.786 [8 per cell]
F2 0.204 0.500 0.835 [4 per cell]

Calculated values
**Electronic total energy**: -74.99 eV for the cell shown
**Total magnetic moment**: 0.00 μB/f.u.

=====

Entry from the Alexandria database: a relaxed structure of V3AuF (PBE+U).

Lattice parameters (Å, degrees): 4.415 4.415 4.415 90.00 90.00 90.00
Space group Pm-3m (No. 221)
Asymmetric unit:
V1 0.000 0.000 0.500 [3 per cell]
Au1 0.500 0.500 0.500 [1 per cell]
F1 0.000 0.000 0.000 [1 per cell]

Calculated values
**Offset from the most stable computed form**: 0 meV per atom
**Electronic total energy**: -26.42 eV for the cell shown
**Total magnetic moment**: 9.83 μB/f.u.
**D(E_F)**: 0.89 states/eV per atom

=====

Entry from the Alexandria database: a relaxed structure of W2AuF (PBE+U).

Lattice parameters (Å, degrees): 6.312 6.312 6.312 90.00 90.00 90.00
Space group Fm-3m (No. 225)
Asymmetric unit:
W1 0.250 0.250 0.250 [8 per cell]
Au1 0.000 0.000 0.000 [4 per cell]
F1 0.000 0.000 0.500 [4 per cell]

Calculated values
**Offset from the most stable computed form**: 239 meV per atom
**Electronic total energy**: -64.40 eV for the cell shown
**Total magnetic moment**: 0.00 μB/f.u.
**D(E_F)**: 0.21 states/eV per atom

=====

total magnetic moment of number 1 (VAuF)? 2.89 μB/f.u.

=====

Which formula does entry 9 have? VAuF2